[1]
First-principles (PBE-GGA) data for crystalline SrSmMgCd at its relaxed geometry, as listed in Alexandria.

a b c (Å): 5.5938 5.5938 5.5938
angles (deg): 60.00 60.00 60.00
Fractional coordinates of all 4 atoms:
Sr1 0.0000 0.0000 0.0000
Sm1 0.5000 0.5000 0.5000
Mg1 0.7500 0.7500 0.7500
Cd1 0.2500 0.2500 0.2500

Summary:
ΔE_f   -0.154 eV per atom
Relative energy among the computed polymorphs   0.14 eV/f.u.

***

[2]
First-principles (PBE-GGA) data for crystalline SrSmMgCd at its relaxed geometry, as listed in Alexandria.

a b c (Å): 3.9810 3.9810 7.9012
angles (deg): 90.00 90.00 90.00
Fractional coordinates of all 4 atoms:
Sr1 0.0000 0.0000 0.0000
Sm1 0.0000 0.0000 0.5138
Mg1 0.5000 0.5000 0.2854
Cd1 0.5000 0.5000 0.7268

Summary:
ΔE_f   -0.189 eV per atom
Relative energy among the computed polymorphs   0.00 eV/f.u.

***

[3]
First-principles (PBE-GGA) data for crystalline SmMgTlCd at its relaxed geometry, as listed in Alexandria.

a b c (Å): 5.2418 5.2418 5.2418
angles (deg): 60.00 60.00 60.00
Fractional coordinates of all 4 atoms:
Sm1 0.0000 0.0000 0.0000
Mg1 0.5000 0.5000 0.5000
Tl1 0.7500 0.7500 0.7500
Cd1 0.2500 0.2500 0.2500

Summary:
ΔE_f   -0.293 eV per atom

***

[4]
First-principles (PBE-GGA) data for crystalline Sm2TmMg5Cd2 at its relaxed geometry, as listed in Alexandria.

a b c (Å): 10.4709 10.4709 4.6950
angles (deg): 90.00 90.00 90.00
Fractional coordinates of all 20 atoms:
Sm1 0.1796 0.3204 0.0000
Sm2 0.3204 0.8204 0.0000
Sm3 0.6796 0.1796 0.0000
Sm4 0.8204 0.6796 0.0000
Tm1 0.0000 0.0000 0.0000
Tm2 0.5000 0.5000 0.0000
Mg1 0.0000 0.5000 0.5000
Mg2 0.0598 0.7906 0.5000
Mg3 0.2094 0.0598 0.5000
Mg4 0.2906 0.5598 0.5000
Mg5 0.4402 0.2906 0.5000
Mg6 0.5000 0.0000 0.5000
Mg7 0.5598 0.7094 0.5000
Mg8 0.7094 0.4402 0.5000
Mg9 0.7906 0.9402 0.5000
Mg10 0.9402 0.2094 0.5000
Cd1 0.1157 0.6157 0.0000
Cd2 0.3843 0.1157 0.0000
Cd3 0.6157 0.8843 0.0000
Cd4 0.8843 0.3843 0.0000

Summary:
ΔE_f   -0.148 eV per atom